# 1
Hf2SiGe | PBE | relaxed Values from VASP.

Geometry as Quantum ESPRESSO input:
```
&SYSTEM
  ibrav = 0, nat = 8, ntyp = 3
/
ATOMIC_SPECIES
Hf 178.49 Hf.upf
Si 28.09 Si.upf
Ge 72.64 Ge.upf
ATOMIC_POSITIONS angstrom
Hf 0.000 0.000 0.000
Hf 0.000 1.876 4.976
Hf 1.901 0.000 2.884
Hf 1.901 1.876 7.861
Si 0.000 0.000 7.280
Si 0.000 1.876 2.304
Ge 1.901 0.000 5.604
Ge 1.901 1.876 0.627
CELL_PARAMETERS angstrom
3.802 0.000 0.000
0.000 3.752 0.000
0.000 0.000 9.953
```

Values from the calculation:
The size of the total moment is 0.00 μB/atom. For the density, the calculation gives 10.71 g/cm³. For the formation energy from raw total energies, the calculation gives -709 meV/atom.

---

# 2
ThCd2Hg | PBE | relaxed Values from VASP.

Geometry as Quantum ESPRESSO input:
```
&SYSTEM
  ibrav = 0, nat = 8, ntyp = 3
/
ATOMIC_SPECIES
Th 232.04 Th.upf
Cd 112.41 Cd.upf
Hg 200.59 Hg.upf
ATOMIC_POSITIONS angstrom
Th 0.000 0.000 0.000
Th 4.501 2.608 0.000
Cd 7.502 2.608 2.135
Cd 0.005 0.000 3.196
Cd 3.001 0.000 2.135
Cd 4.506 2.608 3.196
Hg 1.497 2.608 1.073
Hg 5.998 0.000 1.073
CELL_PARAMETERS angstrom
9.003 0.000 0.000
0.000 5.216 0.000
-3.000 0.000 4.270
```

Values from the calculation:
The size of the total moment is 0.00 μB/atom. For the density, the calculation gives 10.89 g/cm³. As for the calculated formation energy: -160 meV per atom.

---

Please write out number 2 again, unchanged.
ThCd2Hg | PBE | relaxed Values from VASP.

Geometry as Quantum ESPRESSO input:
```
&SYSTEM
  ibrav = 0, nat = 8, ntyp = 3
/
ATOMIC_SPECIES
Th 232.04 Th.upf
Cd 112.41 Cd.upf
Hg 200.59 Hg.upf
ATOMIC_POSITIONS angstrom
Th 0.000 0.000 0.000
Th 4.501 2.608 0.000
Cd 7.502 2.608 2.135
Cd 0.005 0.000 3.196
Cd 3.001 0.000 2.135
Cd 4.506 2.608 3.196
Hg 1.497 2.608 1.073
Hg 5.998 0.000 1.073
CELL_PARAMETERS angstrom
9.003 0.000 0.000
0.000 5.216 0.000
-3.000 0.000 4.270
```

Values from the calculation:
The size of the total moment is 0.00 μB/atom. For the density, the calculation gives 10.89 g/cm³. As for the calculated formation energy: -160 meV per atom.